No. 1
## Te3MoI (PBE)

Data for a relaxed structure of Te3MoI.

The structure in POSCAR format:
```
Te3MoI
1.0
6.6068 0.0000 0.0000
2.6304 6.2646 0.0000
2.3527 1.6532 8.4038
Te Mo I
6 2 2
direct
0.0247 0.1060 0.2390
0.0880 0.5526 0.3153
0.4565 0.9900 0.6868
0.5435 0.0100 0.3132
0.9120 0.4474 0.6847
0.9753 0.8940 0.7610
0.1265 0.1369 0.4992
0.8735 0.8630 0.5008
0.3880 0.4166 0.8093
0.6120 0.5834 0.1907
```

Calculated values
E_tot in eV per cell: -43.392
Theoretical density in g/cm³: 5.78
Formation energy (no corrections) in eV/f.u.: 0.1
Calculated volume in Å³/cell: 348

No. 2
## Tb4HgIr3 (PBE)

Data for a relaxed structure of Tb4HgIr3.

The structure in POSCAR format:
```
Tb4HgIr3
1.0
2.4782 1.4308 8.1478
-2.4782 1.4308 8.1478
0.0000 -2.8616 8.1478
Tb Hg Ir
4 1 3
direct
0.1194 0.1194 0.1194
0.3709 0.3709 0.3709
0.6291 0.6291 0.6291
0.8806 0.8806 0.8806
0.5000 0.5000 0.5000
0.0000 0.0000 0.0000
0.2498 0.2498 0.2498
0.7502 0.7502 0.7502
```

Calculated values
E_tot in eV per cell: -51.092
Theoretical density in g/cm³: 13.54
Energy relative to the elements in eV/atom: -0.711
Calculated volume in Å³/cell: 173

No. 3
## K4AsO5 (PBE)

Data for a relaxed structure of K4AsO5.

The structure in POSCAR format:
```
K4AsO5
1.0
-4.0205 4.0205 2.8569
4.0205 -4.0205 2.8569
4.0205 4.0205 -2.8569
K As O
4 1 5
direct
0.0951 0.7104 0.8054
0.2896 0.0951 0.3847
0.7104 0.9049 0.6153
0.9049 0.2896 0.1946
0.4589 0.4589 0.0000
0.1534 0.1534 0.0000
0.3216 0.4699 0.7234
0.4699 0.7465 0.1482
0.5982 0.3216 0.8518
0.7465 0.5982 0.2766
```

Calculated values
E_tot in eV per cell: -47.895
Theoretical density in g/cm³: 2.80
Formation energy (no corrections) in eV/f.u.: -14.1
Calculated volume in Å³/cell: 185

No. 4
## Tb2NdZn2 (PBE)

Data for a relaxed structure of Tb2NdZn2.

The structure in POSCAR format:
```
Tb2NdZn2
1.0
3.6513 0.0000 0.0000
0.0000 5.2515 0.0000
-1.8303 0.0000 13.3474
Tb Nd Zn
4 2 4
direct
0.0464 0.2500 0.0931
0.2324 0.2500 0.4655
0.7676 0.7500 0.5345
0.9536 0.7500 0.9069
0.1441 0.7500 0.2858
0.8559 0.2500 0.7142
0.3594 0.7500 0.7194
0.4537 0.2500 0.9074
0.5463 0.7500 0.0926
0.6406 0.2500 0.2806
```

Calculated values
E_tot in eV per cell: -35.679
Theoretical density in g/cm³: 7.69
Energy relative to the elements in eV/atom: -0.253
Calculated volume in Å³/cell: 256

No. 5
## VMo2Au (PBE)

Data for a relaxed structure of VMo2Au.

The structure in POSCAR format:
```
VMo2Au
1.0
3.8786 0.0000 0.0000
0.0000 3.8786 0.0000
0.0000 0.0000 4.1395
V Mo Au
1 2 1
direct
0.0000 0.0000 0.0000
0.0000 0.5000 0.5000
0.5000 0.0000 0.5000
0.5000 0.5000 0.0000
```

Calculated values
E_tot in eV per cell: -33.595
Theoretical density in g/cm³: 11.73
Energy relative to the elements in eV/atom: 0.116
Calculated volume in Å³/cell: 62

No. 6
## ReSb2WSe (PBE)

Data for a relaxed structure of ReSb2WSe.

The structure in POSCAR format:
```
ReSb2WSe
1.0
5.2822 0.0000 0.0000
0.0000 5.2822 0.0000
0.0000 0.0000 4.5655
Re Sb W Se
1 2 1 1
direct
0.0000 0.0000 0.0000
0.0000 0.5000 0.5000
0.5000 0.0000 0.5000
0.5000 0.5000 0.0000
0.5000 0.5000 0.5000
```

Calculated values
E_tot in eV per cell: -26.980
Theoretical density in g/cm³: 9.03
Formation energy (no corrections) in eV/f.u.: 10.2
Calculated volume in Å³/cell: 127

No. 7
## ThPbSe3 (PBE)

Data for a relaxed structure of ThPbSe3.

The structure in POSCAR format:
```
ThPbSe3
1.0
2.1751 -10.2722 0.0000
2.1751 10.2722 0.0000
0.0000 0.0000 7.7086
Th Pb Se
2 2 6
direct
0.1652 0.8348 0.5000
0.8348 0.1652 0.0000
0.3572 0.6428 0.5308
0.6428 0.3572 0.0308
0.0799 0.9201 0.2090
0.2538 0.7462 0.8297
0.4031 0.5969 0.1524
0.5969 0.4031 0.6524
0.7462 0.2538 0.3297
0.9201 0.0799 0.7090
```

Calculated values
E_tot in eV per cell: -54.892
Theoretical density in g/cm³: 6.52
Formation energy (no corrections) in eV/f.u.: -5.9
Calculated volume in Å³/cell: 344

No. 8
## NaHfCu2B (PBE)

Data for a relaxed structure of NaHfCu2B.

The structure in POSCAR format:
```
NaHfCu2B
1.0
4.2362 0.0000 0.0000
0.0000 4.2362 0.0000
0.0000 0.0000 4.4099
Na Hf Cu B
1 1 2 1
direct
0.0000 0.0000 0.0000
0.5000 0.5000 0.5000
0.0000 0.5000 0.0000
0.5000 0.0000 0.0000
0.0000 0.0000 0.5000
```

Calculated values
E_tot in eV per cell: -19.196
Theoretical density in g/cm³: 7.12
Energy relative to the elements in eV/atom: 1.389
Calculated volume in Å³/cell: 79

No. 9
## Tm4ZnNiRu2 (PBE)

Data for a relaxed structure of Tm4ZnNiRu2.

The structure in POSCAR format:
```
Tm4ZnNiRu2
1.0
2.3926 1.3814 7.8252
-2.3926 1.3814 7.8252
0.0000 -2.7628 7.8252
Tm Zn Ni Ru
4 1 1 2
direct
0.1219 0.1219 0.1219
0.3726 0.3726 0.3726
0.6274 0.6274 0.6274
0.8781 0.8781 0.8781
0.5000 0.5000 0.5000
0.0000 0.0000 0.0000
0.2492 0.2492 0.2492
0.7508 0.7508 0.7508
```

Calculated values
E_tot in eV per cell: -47.118
Theoretical density in g/cm³: 10.72
Energy relative to the elements in eV/atom: -0.453
Calculated volume in Å³/cell: 155

No. 10
## Na2ThCd6 (PBE)

Data for a relaxed structure of Na2ThCd6.

The structure in POSCAR format:
```
Na2ThCd6
1.0
7.7122 -4.4526 0.0000
7.7122 4.4526 0.0000
-0.0039 0.0000 3.3054
Na Th Cd
2 1 6
direct
0.1667 0.1667 0.0000
0.8333 0.8333 0.0000
0.5000 0.5000 0.0000
0.1627 0.5000 0.4990
0.1627 0.8373 0.5000
0.5000 0.1627 0.4990
0.5000 0.8373 0.5010
0.8373 0.1627 0.5000
0.8373 0.5000 0.5010
```

Calculated values
E_tot in eV per cell: -16.695
Theoretical density in g/cm³: 6.97
Energy relative to the elements in eV/atom: -0.127
Calculated volume in Å³/cell: 227

No. 11
## LaAl2Pt (PBE)

Data for a relaxed structure of LaAl2Pt.

The structure in POSCAR format:
```
LaAl2Pt
1.0
4.6489 0.0000 0.0000
0.0000 4.4606 0.0000
-1.5037 0.0000 4.4329
La Al Pt
1 2 1
direct
0.0000 0.0000 0.0000
0.3291 0.5000 0.6772
0.6709 0.5000 0.3228
0.5000 0.0000 0.5000
```

Calculated values
E_tot in eV per cell: -21.451
Theoretical density in g/cm³: 7.01
Energy relative to the elements in eV/atom: -0.749
Calculated volume in Å³/cell: 92

No. 12
## CsTmS2 (PBE)

Data for a relaxed structure of CsTmS2.

The structure in POSCAR format:
```
CsTmS2
1.0
4.0548 0.0000 0.0000
-2.0274 3.5116 0.0000
0.0000 0.0000 24.1360
Cs Tm S
3 3 6
direct
0.0000 0.0000 0.0000
0.3333 0.6667 0.6667
0.6667 0.3333 0.3333
0.0000 0.0000 0.5000
0.3333 0.6667 0.1667
0.6667 0.3333 0.8333
0.0000 0.0000 0.2265
0.0000 0.0000 0.7735
0.3333 0.6667 0.4402
0.3333 0.6667 0.8931
0.6667 0.3333 0.1069
0.6667 0.3333 0.5598
```

Calculated values
E_tot in eV per cell: -62.660
Theoretical density in g/cm³: 5.30
Formation energy (no corrections) in eV/f.u.: -7.3
Calculated volume in Å³/cell: 344

No. 13
## Y2AlZnIr2 (PBE)

Data for a relaxed structure of Y2AlZnIr2.

The structure in POSCAR format:
```
Y2AlZnIr2
1.0
-2.8747 7.1152 2.8829
2.8747 -7.1152 2.8829
2.8747 7.1152 -2.8829
Y Al Zn Ir
4 2 2 4
direct
0.1727 0.2353 0.4079
0.3273 0.7353 0.0626
0.6727 0.2647 0.9374
0.8273 0.7647 0.5921
0.2500 0.7500 0.5000
0.7500 0.2500 0.5000
0.2500 0.2500 0.0000
0.7500 0.7500 0.0000
0.1153 0.7309 0.8462
0.3847 0.2309 0.6156
0.6153 0.7691 0.3844
0.8847 0.2691 0.1538
```

Calculated values
E_tot in eV per cell: -80.596
Theoretical density in g/cm³: 9.22
Energy relative to the elements in eV/atom: -0.772
Calculated volume in Å³/cell: 236

No. 14
## YRe4Os (PBE)

Data for a relaxed structure of YRe4Os.

The structure in POSCAR format:
```
YRe4Os
1.0
0.0000 3.7153 3.7153
3.7153 0.0000 3.7153
3.7153 3.7153 0.0000
Y Re Os
1 4 1
direct
0.0000 0.0000 0.0000
0.3739 0.3739 0.3739
0.3739 0.3739 0.8783
0.3739 0.8783 0.3739
0.8783 0.3739 0.3739
0.7500 0.7500 0.7500
```

Calculated values
E_tot in eV per cell: -65.866
Theoretical density in g/cm³: 16.58
Energy relative to the elements in eV/atom: 0.270
Calculated volume in Å³/cell: 103

No. 15
## PaHgBiO6 (PBE)

Data for a relaxed structure of PaHgBiO6.

The structure in POSCAR format:
```
PaHgBiO6
1.0
5.6464 0.0000 0.0000
-2.8232 4.8900 0.0000
0.0000 0.0000 4.9066
Pa Hg Bi O
1 1 1 6
direct
0.0000 0.0000 0.0000
0.3333 0.6667 0.5000
0.6667 0.3333 0.5000
0.3363 0.0321 0.7481
0.3363 0.3043 0.2519
0.6957 0.0321 0.2519
0.6957 0.6637 0.7481
0.9679 0.3043 0.7481
0.9679 0.6637 0.2519
```

Calculated values
E_tot in eV per cell: -58.483
Theoretical density in g/cm³: 9.03
Formation energy (no corrections) in eV/f.u.: -15.1
Calculated volume in Å³/cell: 135

No. 16
## YPt2Rh (PBE)

Data for a relaxed structure of YPt2Rh.

The structure in POSCAR format:
```
YPt2Rh
1.0
4.0829 0.0000 0.0000
0.0000 4.0829 0.0000
0.0000 0.0000 4.1358
Y Pt Rh
1 2 1
direct
0.0000 0.0000 0.0000
0.0000 0.5000 0.5000
0.5000 0.0000 0.5000
0.5000 0.5000 0.0000
```

Calculated values
E_tot in eV per cell: -29.196
Theoretical density in g/cm³: 14.02
Energy relative to the elements in eV/atom: -0.825
Calculated volume in Å³/cell: 69

No. 17
## CsLaHg2S4 (PBE)

Data for a relaxed structure of CsLaHg2S4.

The structure in POSCAR format:
```
CsLaHg2S4
1.0
7.0929 0.0000 0.0000
0.0000 8.2923 0.0000
0.0000 0.0000 9.2459
Cs La Hg S
2 2 4 8
direct
0.0000 0.0000 0.0000
0.5000 0.5000 0.5000
0.0000 0.0000 0.5000
0.5000 0.5000 0.0000
0.0000 0.5000 0.1818
0.0000 0.5000 0.8182
0.5000 0.0000 0.3182
0.5000 0.0000 0.6818
0.2369 0.1754 0.3172
0.2369 0.8246 0.6828
0.2631 0.3246 0.8172
0.2631 0.6754 0.1828
0.7369 0.3246 0.1828
0.7369 0.6754 0.8172
0.7631 0.1754 0.6828
0.7631 0.8246 0.3172
```

Calculated values
E_tot in eV per cell: -60.813
Theoretical density in g/cm³: 4.89
Formation energy (no corrections) in eV/f.u.: -7.5
Calculated volume in Å³/cell: 544

No. 18
## Ac7Pb2O2 (PBE)

Data for a relaxed structure of Ac7Pb2O2.

The structure in POSCAR format:
```
Ac7Pb2O2
1.0
3.8276 -8.0607 0.0000
3.8276 8.0607 0.0000
-1.2231 0.0000 8.1967
Ac Pb O
7 2 2
direct
0.0000 0.0000 0.0000
0.0554 0.6020 0.7764
0.3980 0.9446 0.2236
0.4405 0.4405 0.7760
0.5595 0.5595 0.2240
0.6020 0.0554 0.7764
0.9446 0.3980 0.2236
0.3444 0.6556 0.5000
0.6556 0.3444 0.5000
0.3126 0.3126 0.0230
0.6874 0.6874 0.9770
```

Calculated values
E_tot in eV per cell: -55.521
Theoretical density in g/cm³: 6.68
Formation energy (no corrections) in eV/f.u.: -9.4
Calculated volume in Å³/cell: 506

No. 19
## P2Au (PBE)

Data for a relaxed structure of P2Au.

The structure in POSCAR format:
```
P2Au
1.0
6.1926 0.0000 0.0000
0.0000 3.3486 0.0000
-0.8343 0.0000 4.9665
P Au
4 2
direct
0.1343 0.0000 0.3708
0.3657 0.5000 0.6292
0.6343 0.5000 0.3708
0.8657 0.0000 0.6292
0.0000 0.5000 0.0000
0.5000 0.0000 0.0000
```

Calculated values
E_tot in eV per cell: -27.544
Theoretical density in g/cm³: 8.35
Energy relative to the elements in eV/atom: 0.108
Calculated volume in Å³/cell: 103

No. 20
## V2CuTe6 (PBE)

Data for a relaxed structure of V2CuTe6.

The structure in POSCAR format:
```
V2CuTe6
1.0
6.3850 0.0000 0.0000
0.0000 6.3850 0.0000
0.0000 0.0000 11.5699
V Cu Te
4 2 12
direct
0.0000 0.0000 0.1525
0.0000 0.0000 0.8475
0.5000 0.5000 0.3475
0.5000 0.5000 0.6525
0.0000 0.0000 0.5000
0.5000 0.5000 0.0000
0.2001 0.2001 0.3246
0.2001 0.2001 0.6754
0.2122 0.2122 0.0000
0.2878 0.7121 0.5000
0.2999 0.7001 0.1754
0.2999 0.7001 0.8246
0.7001 0.2999 0.1754
0.7001 0.2999 0.8246
0.7121 0.2878 0.5000
0.7879 0.7879 0.0000
0.7999 0.7999 0.3246
0.7999 0.7999 0.6754
```

Calculated values
E_tot in eV per cell: -83.545
Theoretical density in g/cm³: 6.56
Formation energy (no corrections) in eV/f.u.: -0.6
Calculated volume in Å³/cell: 472

Number 1: magnetization 0.0 μB/cell. Number 2: magnetization 0.0 μB/cell. Number 3: magnetization 0.9 μB/cell. Number 4: magnetization 0.0 μB/cell. Number 5: magnetization 0.0 μB/cell. Number 6: magnetization 3.2 μB/cell. Number 7: magnetization 0.0 μB/cell. Number 8: magnetization 0.0 μB/cell. Number 9: magnetization 0.0 μB/cell. Number 10: magnetization 0.2 μB/cell. Number 11: magnetization 0.0 μB/cell. Number 12: magnetization 0.0 μB/cell. Number 13: magnetization 0.0 μB/cell. Number 14: magnetization 0.0 μB/cell. Number 15: magnetization 0.0 μB/cell. Number 16: magnetization 0.0 μB/cell. Number 17: magnetization 0.0 μB/cell. Number 18: magnetization 0.0 μB/cell. Number 19: magnetization 0.0 μB/cell. Number 20: magnetization 1.7 μB/cell.